Model w:
Pm2AgSe: optimized geometry, GGA-PBE.

```
Pm2AgSe
1.0
2.083 -12.042 0.000
2.083 12.042 0.000
0.000 0.000 4.279
Pm Ag Se
4 2 2
Cartesian
2.083 10.338 3.209
2.083 4.482 3.209
2.083 -4.482 1.070
2.083 -10.338 1.070
2.083 0.994 3.209
2.083 -0.994 1.070
2.083 7.408 3.209
2.083 -7.408 1.070
```

## Properties
SG	Cmcm (63)
Fermi-level density of states	4.70	states/eV/cell

---

Model x:
Pm2AgSe: optimized geometry, GGA-PBE.

```
Pm2AgSe
1.0
3.703 0.000 0.000
0.000 3.703 0.000
0.000 0.000 7.280
Pm Ag Se
2 1 1
Cartesian
0.000 0.000 1.779
0.000 0.000 5.502
1.852 1.852 3.640
1.852 1.852 0.000
```

## Properties
SG	P4/mmm (123)
Fermi-level density of states	3.81	states/eV/cell

---

Model y:
Pm2AgSe: optimized geometry, GGA-PBE.

```
Pm2AgSe
1.0
2.088 1.205 7.324
-2.088 1.205 7.324
0.000 -2.411 7.324
Pm Ag Se
2 1 1
Cartesian
0.000 0.000 5.385
0.000 0.000 16.586
0.000 0.000 0.000
0.000 0.000 10.986
```

## Properties
SG	R-3m (166)
Fermi-level density of states	3.59	states/eV/cell

---

Energy ordering: model w at the bottom, the next structure 78 meV per atom above.